Entry 1:
DFT (PBE) results for an optimized crystal structure of RbPtBr.

Cell lengths 12.855, 3.859, 7.563 Å; angles 90.00, 98.06, 90.00 degrees
Space group C2/m (No. 12)
Inequivalent atoms, fractional coordinates:
Rb 0.100 0.000 0.278 (multiplicity 4)
Pt 0.210 0.000 0.898 (multiplicity 4)
Br 0.126 0.500 0.688 (multiplicity 4)

Computed properties:
formation energy (no corrections): -0.6620 eV per atom
relative energy among the computed polymorphs: 0 meV/atom

=====

Entry 2:
DFT (PBE) results for an optimized crystal structure of Ba2CuOs.

Cell lengths 3.580, 3.580, 9.298 Å; angles 90.00, 90.00, 90.00 degrees
Space group P4mm (No. 99)
Inequivalent atoms, fractional coordinates:
Ba 0.000 0.000 0.000 (multiplicity 1)
Ba 0.500 0.500 0.447 (multiplicity 1)
Cu 0.000 0.000 0.686 (multiplicity 1)
Os 0.500 0.500 0.756 (multiplicity 1)

Computed properties:
relative energy among the computed polymorphs: 152 meV/atom
ΔH_f (0 K): 0.55 eV/atom

=====

Entry 3:
DFT (PBE) results for an optimized crystal structure of Pm4Sm2Er.

Cell lengths 5.379, 11.415, 15.605 Å; angles 90.00, 90.00, 90.00 degrees
Space group Cmce (No. 64)
Inequivalent atoms, fractional coordinates:
Pm 0.000 0.101 0.194 (multiplicity 8)
Pm 0.000 0.205 0.430 (multiplicity 8)
Sm 0.000 0.106 0.656 (multiplicity 8)
Er 0.000 0.000 0.000 (multiplicity 4)

Computed properties:
relative energy among the computed polymorphs: 0 meV/atom
ΔH_f (0 K): 0.15 eV/atom

=====

Entry 4:
DFT (PBE) results for an optimized crystal structure of TiMnZnFe.

Cell lengths 3.263, 3.980, 3.997 Å; angles 90.00, 90.00, 90.00 degrees
Space group Pmmm (No. 47)
Inequivalent atoms, fractional coordinates:
Ti 0.000 0.000 0.000 (multiplicity 1)
Mn 0.500 0.000 0.500 (multiplicity 1)
Zn 0.000 0.500 0.500 (multiplicity 1)
Fe 0.500 0.500 0.000 (multiplicity 1)

Computed properties:
relative energy among the computed polymorphs: 0 meV/atom
ΔH_f (0 K): -0.12 eV/atom

=====

Entry 5:
DFT (PBE) results for an optimized crystal structure of Tm2GaAs.

Cell lengths 4.159, 22.398, 4.044 Å; angles 90.00, 90.00, 90.00 degrees
Space group Cmcm (No. 63)
Inequivalent atoms, fractional coordinates:
Tm 0.000 0.065 0.250 (multiplicity 4)
Tm 0.000 0.315 0.250 (multiplicity 4)
Ga 0.000 0.462 0.250 (multiplicity 4)
As 0.000 0.189 0.250 (multiplicity 4)

Computed properties:
relative energy among the computed polymorphs: 0 meV/atom
ΔH_f (0 K): -1.05 eV/atom

=====

Entry 6:
DFT (PBE) results for an optimized crystal structure of AcTiN3.

Cell lengths 6.0135, 6.0135, 5.3644 Å; angles 90.00, 90.00, 120.00 degrees
Space group P6_322 (No. 182)
Inequivalent atoms, fractional coordinates:
Ac 0.3333 0.6667 0.2500 (multiplicity 2)
Ti 0.0000 0.0000 0.2500 (multiplicity 2)
N 0.0000 0.2604 0.5000 (multiplicity 6)

Computed properties:
formation energy (no corrections): -0.6438 eV per atom

=====

Entry 7:
DFT (PBE) results for an optimized crystal structure of HfHg2Pd.

Cell lengths 7.774, 7.774, 5.706 Å; angles 90.00, 90.00, 90.00 degrees
Space group I-42d (No. 122)
Inequivalent atoms, fractional coordinates:
Hf 0.000 0.000 0.000 (multiplicity 4)
Hg 0.236 0.250 0.625 (multiplicity 8)
Pd 0.000 0.000 0.500 (multiplicity 4)

Computed properties:
relative energy among the computed polymorphs: 292 meV/atom
ΔH_f (0 K): 0.15 eV/atom

=====

Entry 8:
DFT (PBE) results for an optimized crystal structure of Cs2DyAuI6.

Cell lengths 8.408, 8.570, 8.639 Å; angles 113.28, 112.64, 101.84 degrees
Space group P-1 (No. 2)
Inequivalent atoms, fractional coordinates:
Cs 0.249 0.249 0.498 (multiplicity 2)
Dy 0.000 0.500 0.000 (multiplicity 1)
Au 0.500 0.000 0.000 (multiplicity 1)
I 0.193 0.856 0.000 (multiplicity 2)
I 0.223 0.723 0.447 (multiplicity 2)
I 0.283 0.341 0.000 (multiplicity 2)

Computed properties:
formation energy (no corrections): -1.1735 eV per atom

=====

Entry 9:
DFT (PBE) results for an optimized crystal structure of NdErTe3.

Cell lengths 4.305, 14.211, 10.783 Å; angles 90.00, 90.00, 90.00 degrees
Space group Cmcm (No. 63)
Inequivalent atoms, fractional coordinates:
Nd 0.000 0.249 0.250 (multiplicity 4)
Er 0.000 0.000 0.000 (multiplicity 4)
Te 0.000 0.089 0.750 (multiplicity 4)
Te 0.000 0.354 0.562 (multiplicity 8)

Computed properties:
formation energy (no corrections): -1.4074 eV per atom
relative energy among the computed polymorphs: 0 meV/atom

=====

Entry 10:
DFT (PBE) results for an optimized crystal structure of CeEuN.

Cell lengths 6.137, 6.137, 6.137 Å; angles 90.00, 90.00, 90.00 degrees
Space group F-43m (No. 216)
Inequivalent atoms, fractional coordinates:
Ce 0.000 0.000 0.000 (multiplicity 4)
Eu 0.000 0.000 0.500 (multiplicity 4)
N 0.250 0.250 0.750 (multiplicity 4)

Computed properties:
formation energy (no corrections): -0.3414 eV per atom
relative energy among the computed polymorphs: 474 meV/atom

=====

Entry 11:
DFT (PBE) results for an optimized crystal structure of TiAs.

Cell lengths 7.4298, 7.4298, 5.0526 Å; angles 90.00, 90.00, 120.00 degrees
Space group P6_3/m (No. 176)
Inequivalent atoms, fractional coordinates:
Ti 0.0606 0.6868 0.2500 (multiplicity 6)
As 0.0699 0.6991 0.7500 (multiplicity 6)

Computed properties:
ΔH_f (0 K): -0.65 eV/atom

=====

Entry 12:
DFT (PBE) results for an optimized crystal structure of TlPtAu3.

Cell lengths 5.153, 5.153, 5.153 Å; angles 90.00, 90.00, 90.00 degrees
Space group Pm-3m (No. 221)
Inequivalent atoms, fractional coordinates:
Tl 0.000 0.000 0.000 (multiplicity 1)
Pt 0.500 0.500 0.500 (multiplicity 1)
Au 0.000 0.500 0.500 (multiplicity 3)

Computed properties:
relative energy among the computed polymorphs: 0 meV/atom
ΔH_f (0 K): 0.42 eV/atom

=====

Number 1: M_tot 0.000 μB/f.u.. Number 2: M_tot 0.000 μB/f.u.. Number 3: M_tot 0.000 μB/f.u.. Number 4: M_tot 2.905 μB/f.u.. Number 5: M_tot 0.000 μB/f.u.. Number 6: M_tot 1.762 μB/f.u.. Number 7: M_tot 0.000 μB/f.u.. Number 8: M_tot 0.000 μB/f.u.. Number 9: M_tot 0.000 μB/f.u.. Number 10: M_tot 7.699 μB/f.u.. Number 11: M_tot 0.000 μB/f.u.. Number 12: M_tot 0.000 μB/f.u..